A plane-wave DFT calculation with PBE was carried out for a relaxed Rb2TlAu2 crystal.

```
5
Lattice="5.8647 -3.4403 0.0000 5.8647 3.4403 0.0000 -1.8697 0.0000 4.3063" Properties=species:S:1:pos:R:3 pbc="T T T"
Rb 2.0332 0.0000 0.8856
Rb 7.8264 0.0000 3.4208
Tl 5.8647 0.0000 0.0000
Au 4.9298 1.9839 2.1532
Au 4.9298 -1.9839 2.1532
```

The density of states at the Fermi level comes out at 1.9 states/eV/f.u. The offset from the most stable computed form is 43 meV/atom. Its space group is C2/m, No. 12.

---

A plane-wave DFT calculation with PBE was carried out for a relaxed TlSb2Rh crystal.

```
4
Lattice="0.0000 3.5785 3.5785 3.5785 0.0000 3.5785 3.5785 3.5785 0.0000" Properties=species:S:1:pos:R:3 pbc="T T T"
Tl 0.0000 0.0000 0.0000
Sb 1.7892 1.7892 1.7892
Sb 5.3677 5.3677 5.3677
Rh 3.5785 3.5785 3.5785
```

The density of states at the Fermi level comes out at 0.1 states/eV/f.u. The offset from the most stable computed form is 399 meV/atom. As for the formation energy without anion corrections: 206 meV/atom. Its space group is Fm-3m, No. 225.

---

A plane-wave DFT calculation with PBE was carried out for a relaxed SrNiW2 crystal.

```
4
Lattice="1.4256 0.8231 10.1316 -1.4256 0.8231 10.1316 0.0000 -1.6462 10.1316" Properties=species:S:1:pos:R:3 pbc="T T T"
Sr 0.0000 0.0000 0.0000
Ni 0.0000 0.0000 15.1974
W 0.0000 0.0000 7.1483
W 0.0000 0.0000 23.2466
```

The density of states at the Fermi level comes out at 5.8 states/eV/f.u. The offset from the most stable computed form is 437 meV/atom. Its space group is R-3m, No. 166.

---

A plane-wave DFT calculation with PBE was carried out for a relaxed LaTb12Ni6 crystal.

```
19
Lattice="-4.9530 4.9530 4.9530 4.9530 -4.9530 4.9530 4.9530 4.9530 -4.9530" Properties=species:S:1:pos:R:3 pbc="T T T"
La 0.0000 0.0000 0.0000
Tb 4.9530 3.1244 -1.8576
Tb 3.0954 0.0000 1.8285
Tb 6.8105 0.0000 1.8285
Tb 1.8285 3.0954 0.0000
Tb 3.1244 -1.8576 4.9530
Tb 0.0000 1.8285 3.0954
Tb 4.9530 3.1244 1.8576
Tb 1.8285 6.8105 0.0000
Tb 3.1244 1.8576 4.9530
Tb -1.8576 4.9530 3.1244
Tb 1.8576 4.9530 3.1244
Tb 0.0000 1.8285 6.8105
Ni 4.9530 1.2240 0.0000
Ni 4.9530 0.0000 3.7289
Ni 3.7289 4.9530 0.0000
Ni 1.2240 0.0000 4.9530
Ni 0.0000 4.9530 1.2240
Ni 0.0000 3.7289 4.9530
```

Its total DFT energy (no corrections) is -5.241 eV/atom. The density of states at the Fermi level comes out at 22.7 states/eV/f.u. Its space group is Im-3, No. 204.

---

A plane-wave DFT calculation with PBE was carried out for a relaxed LiMg6BO8 crystal.

```
16
Lattice="4.1885 0.0000 0.0000 0.0000 4.1885 0.0000 0.0000 0.0000 8.3810" Properties=species:S:1:pos:R:3 pbc="T T T"
Li 0.0000 0.0000 0.0000
Mg 0.0000 0.0000 4.1905
Mg 0.0000 2.0943 1.9115
Mg 0.0000 2.0943 6.4695
Mg 2.0943 0.0000 1.9115
Mg 2.0943 0.0000 6.4695
Mg 2.0943 2.0943 4.1905
B 2.0943 2.0943 0.0000
O 0.0000 0.0000 2.1702
O 0.0000 0.0000 6.2108
O 0.0000 2.0943 0.0000
O 0.0000 2.0943 4.1905
O 2.0943 0.0000 0.0000
O 2.0943 0.0000 4.1905
O 2.0943 2.0943 1.5378
O 2.0943 2.0943 6.8432
```

The density of states at the Fermi level comes out at 0.0 states/eV/f.u. The offset from the most stable computed form is 96 meV/atom. As for the formation energy without anion corrections: -2280 meV/atom. Its space group is P4/mmm, No. 123.

---

A plane-wave DFT calculation with PBE was carried out for a relaxed TcAg2PF crystal.

```
5
Lattice="4.8938 0.0000 0.0000 0.0000 4.8938 0.0000 0.0000 0.0000 3.7961" Properties=species:S:1:pos:R:3 pbc="T T T"
Tc 0.0000 0.0000 0.0000
Ag 0.0000 2.4469 1.8980
Ag 2.4469 0.0000 1.8980
P 2.4469 2.4469 1.8980
F 2.4469 2.4469 0.0000
```

The density of states at the Fermi level comes out at 2.9 states/eV/f.u. As for the formation energy without anion corrections: 502 meV/atom. Its space group is P4/mmm, No. 123.